[1]
DFT (PBE) results for a relaxed structure of Tl2Ag2Cl3.

The value obtained for the volume is 395 Å³ per cell. As for the energy: -2.787 eV per atom. The formation energy from raw total energies is -505 meV per atom.

```
data_Tl2Ag2Cl3
_chemical_formula_sum 'Tl4 Ag4 Cl6'
_symmetry_space_group_name_H-M 'P 1 21/c 1'
_symmetry_Int_Tables_number 14
_cell_length_a 7.1692
_cell_length_b 7.4777
_cell_length_c 9.8821
_cell_angle_alpha 90.00
_cell_angle_beta 131.80
_cell_angle_gamma 90.00
loop_
_symmetry_equiv_pos_as_xyz
'x,y,z'
'-x,-y,-z'
'-x,y+1/2,-z+1/2'
'x,-y+1/2,z+1/2'
loop_
_atom_site_label
_atom_site_fract_x
_atom_site_fract_y
_atom_site_fract_z
Tl1 0.1198 0.2349 0.3031
Ag1 0.4227 0.5867 0.3435
Cl1 0.0000 0.0000 0.5000
Cl2 0.3283 0.5718 0.7335
```

***

[2]
DFT (PBE) results for a relaxed structure of Fe2SbRh.

The value obtained for the volume is 188 Å³ per cell. As for the energy: -6.706 eV per atom. The formation energy from raw total energies is 394 meV per atom.

```
data_Fe2SbRh
_chemical_formula_sum 'Fe6 Sb3 Rh3'
_symmetry_space_group_name_H-M 'R -3 m'
_symmetry_Int_Tables_number 166
_symmetry_space_group_name_Hall '-R 3 2"'
_cell_length_a 2.9643
_cell_length_b 2.9643
_cell_length_c 24.6562
_cell_angle_alpha 90.00
_cell_angle_beta 90.00
_cell_angle_gamma 120.00
loop_
_atom_site_label
_atom_site_fract_x
_atom_site_fract_y
_atom_site_fract_z
Fe1 0.0000 0.0000 0.2462
Sb1 0.0000 0.0000 0.0000
Rh1 0.0000 0.0000 0.5000
```

***

[3]
DFT (PBE) results for a relaxed structure of Pm4Hg5Rh2.

The value obtained for the volume is 278 Å³ per cell. The calculation puts the energy of formation from the pure elements at -0.56 eV/atom. As for the energy: -3.759 eV per atom.

```
data_Pm4Hg5Rh2
_chemical_formula_sum 'Pm4 Hg5 Rh2'
_symmetry_space_group_name_H-M 'P 1 2/m 1'
_symmetry_Int_Tables_number 10
_cell_length_a 7.7952
_cell_length_b 3.7268
_cell_length_c 9.6155
_cell_angle_alpha 90.00
_cell_angle_beta 94.47
_cell_angle_gamma 90.00
loop_
_symmetry_equiv_pos_as_xyz
'x,y,z'
'-x,-y,-z'
'-x,y,-z'
'x,-y,z'
loop_
_atom_site_label
_atom_site_fract_x
_atom_site_fract_y
_atom_site_fract_z
Pm1 0.1814 0.0000 0.3490
Pm2 0.2214 0.0000 0.9387
Hg1 0.1690 0.5000 0.6449
Hg2 0.4541 0.5000 0.1700
Hg3 0.5000 0.5000 0.5000
Rh1 0.0769 0.5000 0.1405
```

***

Q: What is the formula in the first record?
A: Tl2Ag2Cl3

***

Q: What is the volume in the second record?
A: 188 Å³ per cell

***

Q: What is the formula in the third record?
A: Pm4Hg5Rh2

***

Q: Look up the energy of the third one.
A: -3.759 eV per atom